No. 1
PmSmHo2P4 (PBE-GGA, relaxed); Fermi-level density of states = 0.79 states/eV per cell; calculated formation energy = -12.7 eV per formula unit
1.0
4.0559 0.0000 0.0000
0.0000 7.0168 -0.1377
0.0000 2.4696 6.5727
Pm Sm Ho P
1 1 2 4
direct
0.0000 0.5000 0.5000 Pm
0.5000 0.5000 0.0000 Sm
0.0000 0.0000 0.0000 Ho
0.5000 0.0000 0.5000 Ho
0.0000 0.7578 0.7480 P
0.0000 0.2422 0.2520 P
0.5000 0.7583 0.2466 P
0.5000 0.2417 0.7534 P

No. 2
ZrSb3Cl (PBE-GGA, relaxed); Fermi-level density of states = 1.87 states/eV per cell; formation energy (no corrections) = 0.0627 eV/atom; polymorph energy (0 for the lowest one) = 0.0 kJ per mole of atoms
1.0
-0.1752 4.5093 -3.1655
-4.0798 -2.2347 -2.9575
-3.7027 2.2489 3.4085
Sb Zr Cl
3 1 1
direct
0.0000 0.5000 0.0000 Sb
0.0000 0.0000 0.5000 Sb
0.5000 0.0000 0.0000 Sb
0.0000 0.0000 0.0000 Zr
0.5000 0.5000 0.5000 Cl

No. 3
Co3Ni5H12 (PBE-GGA, relaxed); Fermi-level density of states = 52.34 states/eV per cell; E_tot = -4.432 eV/atom
1.0
-1.6633 7.5472 -3.7759
-4.9144 -6.1151 -3.5268
-1.7160 0.5616 8.4098
Co Ni H
12 20 48
direct
0.7500 0.3750 0.1250 Co
0.8750 0.7500 0.1250 Co
0.3750 0.7500 0.6250 Co
0.2500 0.1250 0.3750 Co
0.8750 0.1250 0.2500 Co
0.3750 0.6250 0.2500 Co
0.6250 0.3750 0.7500 Co
0.1250 0.8750 0.7500 Co
0.7500 0.8750 0.6250 Co
0.6250 0.2500 0.3750 Co
0.1250 0.2500 0.8750 Co
0.2500 0.6250 0.8750 Co
0.1250 0.3750 0.2500 Ni
0.0000 0.5000 0.0000 Ni
0.0000 0.0000 0.0000 Ni
0.3750 0.2500 0.1250 Ni
0.5000 0.0000 0.5000 Ni
0.5000 0.5000 0.0000 Ni
0.1250 0.7500 0.3750 Ni
0.7500 0.1250 0.8750 Ni
0.7500 0.6250 0.3750 Ni
0.3750 0.1250 0.7500 Ni
0.6250 0.8750 0.2500 Ni
0.5000 0.5000 0.5000 Ni
0.5000 0.0000 0.0000 Ni
0.0000 0.0000 0.5000 Ni
0.2500 0.3750 0.6250 Ni
0.2500 0.8750 0.1250 Ni
0.0000 0.5000 0.5000 Ni
0.8750 0.2500 0.6250 Ni
0.6250 0.7500 0.8750 Ni
0.8750 0.6250 0.7500 Ni
0.7245 0.1444 0.0578 H
0.3332 0.5578 0.4134 H
0.9422 0.3556 0.2755 H
0.5578 0.2245 0.1444 H
0.5801 0.7245 0.6668 H
0.9422 0.5866 0.1668 H
0.3332 0.7755 0.4199 H
0.0866 0.9199 0.1444 H
0.5866 0.9422 0.6668 H
0.7245 0.5801 0.1668 H
0.7755 0.4422 0.3556 H
0.8332 0.9134 0.0578 H
0.1444 0.7245 0.5578 H
0.3556 0.4134 0.0801 H
0.0801 0.9134 0.3556 H
0.4199 0.1444 0.5866 H
0.0801 0.1668 0.2245 H
0.4422 0.6668 0.0866 H
0.8332 0.9199 0.2755 H
0.1444 0.4199 0.0866 H
0.3556 0.9422 0.7755 H
0.5866 0.6444 0.4199 H
0.9134 0.8332 0.5578 H
0.7755 0.3332 0.9199 H
0.4134 0.3556 0.5801 H
0.0866 0.1668 0.4422 H
0.2245 0.6668 0.0801 H
0.1668 0.0801 0.7245 H
0.6444 0.0578 0.2245 H
0.8556 0.5801 0.9134 H
0.5578 0.3332 0.9134 H
0.5801 0.8556 0.4134 H
0.9199 0.8332 0.7755 H
0.9199 0.0866 0.6444 H
0.8556 0.2755 0.4422 H
0.1668 0.0866 0.9422 H
0.6444 0.5866 0.9199 H
0.4134 0.0578 0.3332 H
0.2755 0.4199 0.8332 H
0.2245 0.5578 0.6444 H
0.9134 0.0801 0.8556 H
0.6668 0.2245 0.5801 H
0.4422 0.7755 0.8556 H
0.0578 0.4134 0.8332 H
0.4199 0.2755 0.3332 H
0.0578 0.6444 0.7245 H
0.6668 0.4422 0.5866 H
0.2755 0.8556 0.9422 H

No. 4
CeTi2VN4 (PBE-GGA, relaxed); Fermi-level density of states = 9.11 states/eV per cell; formation energy (no corrections) = -1.3759 eV/atom
1.0
-1.1845 -0.7938 2.8294
2.7203 -4.6171 -1.9305
8.8959 3.2974 4.6491
Ce Ti V N
2 4 2 8
direct
0.1000 0.1999 0.7500 Ce
0.9000 0.8001 0.2500 Ce
0.3721 0.7442 0.5402 Ti
0.6279 0.2558 0.0402 Ti
0.6279 0.2558 0.4598 Ti
0.3721 0.7442 0.9598 Ti
0.8373 0.6746 0.7500 V
0.1627 0.3254 0.2500 V
0.2651 0.5303 0.1110 N
0.7349 0.4697 0.6110 N
0.7349 0.4697 0.8890 N
0.2651 0.5303 0.3890 N
0.0000 0.0000 0.5000 N
0.0000 0.0000 0.0000 N
0.4366 0.8732 0.7500 N
0.5634 0.1268 0.2500 N

No. 5
BaIn2P (PBE-GGA, relaxed); Fermi-level density of states = 3.37 states/eV per cell; calculated formation energy = -1.0 eV per formula unit
1.0
-3.0637 -3.3400 -0.8530
0.5496 -1.6018 4.2981
-4.0065 3.2362 1.7184
Ba In P
1 2 1
direct
0.0000 0.5000 0.5000 Ba
0.0000 0.0000 0.0000 In
0.5000 0.5000 0.0000 In
0.5000 0.0000 0.5000 P

No. 6
ErPaRh2 (PBE-GGA, relaxed); Fermi-level density of states = 2.90 states/eV per cell; polymorph energy (0 for the lowest one) = 9.6 kJ per mole of atoms; calculated formation energy = -3.2 eV per formula unit
1.0
3.8909 0.0000 0.0000
1.9455 3.3696 0.0000
1.9455 1.1232 6.7488
Pa Rh Er
1 2 1
direct
0.0000 0.0000 0.0000 Pa
0.2557 0.2557 0.2328 Rh
0.7443 0.7443 0.7672 Rh
0.5000 0.5000 0.5000 Er

No. 7
Ni2HgGe2 (PBE-GGA, relaxed); Fermi-level density of states = 4.40 states/eV per cell; polymorph energy (0 for the lowest one) = 5.2 kJ per mole of atoms; calculated formation energy = 0.4 eV per formula unit
1.0
-0.3791 -5.2044 5.3994
6.4698 -2.9608 -2.3997
1.4017 1.6748 1.7127
Ni Ge Hg
4 4 2
direct
0.1341 0.6341 0.5000 Ni
0.6341 0.8659 0.5000 Ni
0.8659 0.3659 0.5000 Ni
0.3659 0.1341 0.5000 Ni
0.3496 0.8496 0.0000 Ge
0.8496 0.6504 0.0000 Ge
0.6504 0.1504 0.0000 Ge
0.1504 0.3496 0.0000 Ge
0.0000 0.0000 0.0000 Hg
0.5000 0.5000 0.0000 Hg

No. 8
FeCu2Pt (PBE-GGA, relaxed); Fermi-level density of states = 3.45 states/eV per cell; calculated formation energy = 0.0 eV per formula unit
1.0
4.5542 -0.0005 0.0000
-1.5855 4.2693 0.0000
0.0000 0.0000 2.7168
Cu Fe Pt
2 1 1
direct
0.0000 0.0000 0.0000 Cu
0.5000 0.5000 0.0000 Cu
0.5000 0.0000 0.5000 Fe
0.0000 0.5000 0.5000 Pt